A relaxed LaMgCr crystal, computed with PBE-GGA.

a = 3.5056 Å, b = 3.5056 Å, c = 12.1840 Å
α = 90.00°, β = 90.00°, γ = 90.00°
With the nearest neighbours (Å) after each atom.
Space group I4mm (No. 107)
Unique sites:
La: 0.0000 0.0000 0.0000 [2 per cell]  4 Cr 3.16, 1 Mg 3.49, 4 La 3.51
Mg: 0.0000 0.0000 0.7137 [2 per cell]  4 Cr 2.91
Cr: 0.0000 0.0000 0.3391 [2 per cell]  4 Mg 2.91, 4 La 3.16

Formation energy from the elements = 332 meV/atom
N(E_F) = 2.17 states/eV/f.u.
Offset from the most stable computed form = 0.000 kcal/mol of atoms
Total energy = -5.0499 eV per atom